Entry 1:
Here is crystalline LiGaS2 at its relaxed geometry from Alexandria via LeMat-Bulk. Energies are from PBE-GGA.

a = 2.9327 Å, b = 2.9327 Å, c = 25.8460 Å
α = 90.00°, β = 90.00°, γ = 120.00°
With the nearest neighbours (Å) after each atom.
Space group R-3m (No. 166, hexagonal axes)
Unique sites:
Li 0.0000 0.0000 0.0000 [3 per cell]  6 S 2.47
Ga 0.0000 0.0000 0.5000 [3 per cell]  2 S 2.51
S 0.0000 0.0000 0.4030 [6 per cell]  3 Li 2.47, 1 Ga 2.51

Computed properties:
Formation energy from raw total energies, eV per atom: -0.137



Entry 2:
Here is crystalline ScCdInHg at its relaxed geometry from Alexandria via LeMat-Bulk. Energies are from PBE-GGA.

a = 7.1179 Å, b = 7.1179 Å, c = 7.1179 Å
α = 90.00°, β = 90.00°, γ = 90.00°
With the nearest neighbours (Å) after each atom.
Space group F-43m (No. 216)
Unique sites:
Sc 0.0000 0.0000 0.0000 [4 per cell]  4 Hg 3.08, 4 In 3.08
Cd 0.0000 0.0000 0.5000 [4 per cell]  4 In 3.08, 4 Hg 3.08
In 0.2500 0.2500 0.2500 [4 per cell]  4 Cd 3.08, 4 Sc 3.08
Hg 0.2500 0.2500 0.7500 [4 per cell]  4 Cd 3.08, 4 Sc 3.08

Computed properties:
VASP energy, eV per cell: -44.27



Entry 3:
Here is crystalline MgGeF2 at its relaxed geometry from Alexandria via LeMat-Bulk. Energies are from PBE-GGA.

a = 2.9900 Å, b = 2.9900 Å, c = 28.2762 Å
α = 90.00°, β = 90.00°, γ = 120.00°
With the nearest neighbours (Å) after each atom.
Space group R-3m (No. 166, hexagonal axes)
Unique sites:
Mg 0.0000 0.0000 0.0000 [3 per cell]  6 F 1.99
Ge 0.0000 0.0000 0.5000 [3 per cell]  6 Ge 2.99
F 0.0000 0.0000 0.3682 [6 per cell]  3 Mg 1.99

Computed properties:
Formation energy from raw total energies, eV per atom: -2.343



Entry 4:
Here is crystalline Sb2TePAu at its relaxed geometry from Alexandria via LeMat-Bulk. Energies are from PBE-GGA.

a = 5.3423 Å, b = 5.3423 Å, c = 5.3937 Å
α = 90.00°, β = 90.00°, γ = 90.00°
With the nearest neighbours (Å) after each atom.
Space group P4/mmm (No. 123)
Unique sites:
Sb 0.0000 0.5000 0.0000 [2 per cell]  2 Au 2.67
Te 0.0000 0.0000 0.5000 [1 per cell]  2 Au 2.70
P 0.5000 0.5000 0.5000 [1 per cell]  4 Te 3.78, 8 Sb 3.80
Au 0.0000 0.0000 0.0000 [1 per cell]  4 Sb 2.67, 2 Te 2.70

Computed properties:
Formation energy from raw total energies, eV per atom: 0.965



Entry 5:
Here is crystalline Sc3Ti at its relaxed geometry from Alexandria via LeMat-Bulk. Energies are from PBE-GGA.

a = 4.4740 Å, b = 4.4740 Å, c = 4.4740 Å
α = 90.00°, β = 90.00°, γ = 90.00°
With the nearest neighbours (Å) after each atom.
Space group Pm-3m (No. 221)
Unique sites:
Sc 0.0000 0.0000 0.5000 [3 per cell]  8 Sc 3.16, 4 Ti 3.16
Ti 0.5000 0.5000 0.5000 [1 per cell]  12 Sc 3.16

Computed properties:
VASP energy, eV per cell: -26.41



Entry 6:
Here is crystalline Th4H6Rh7 at its relaxed geometry from Alexandria via LeMat-Bulk. Energies are from PBE-GGA.

a = 7.9755 Å, b = 7.9755 Å, c = 7.9755 Å
α = 90.00°, β = 90.00°, γ = 90.00°
With the nearest neighbours (Å) after each atom.
Space group Im-3m (No. 229)
Unique sites:
Th 0.2500 0.2500 0.2500 [8 per cell]  6 Rh 2.82, 6 H 2.84
H 0.0000 0.0000 0.2121 [12 per cell]  1 Rh 1.69
Rh 0.0000 0.0000 0.0000 [2 per cell]  6 H 1.69
Rh 0.0000 0.2500 0.5000 [12 per cell]  4 Th 2.82, 4 Rh 2.82, 4 H 3.04

Computed properties:
VASP energy, eV per cell: -219.70



Entry 7:
Here is crystalline Ce2ZnGaCo at its relaxed geometry from Alexandria via LeMat-Bulk. Energies are from PBE-GGA.

a = 7.1238 Å, b = 4.2152 Å, c = 7.2479 Å
α = 90.00°, β = 108.08°, γ = 90.00°
With the nearest neighbours (Å) after each atom.
Space group P2_1/m (No. 11)
Unique sites:
Ce 0.1177 0.2500 0.3475 [2 per cell]  3 Co 2.79-3.08
Ce 0.2855 0.2500 0.9630 [2 per cell]  3 Co 2.67-2.78
Zn 0.3393 0.7500 0.6571 [2 per cell]  3 Ga 2.60-2.73
Ga 0.4415 0.7500 0.3234 [2 per cell]  1 Co 2.47, 3 Zn 2.60-2.73
Co 0.1031 0.7500 0.0911 [2 per cell]  1 Ga 2.47, 2 Co 2.67, 1 Ce 2.67

Computed properties:
VASP energy, eV per cell: -49.89



Entry 8:
Here is crystalline Ac2Nd7Sm3 at its relaxed geometry from Alexandria via LeMat-Bulk. Energies are from PBE-GGA.

a = 6.5668 Å, b = 3.6791 Å, c = 18.3128 Å
α = 90.00°, β = 96.44°, γ = 90.00°
With the nearest neighbours (Å) after each atom.
Space group P2/m (No. 10)
Unique sites:
Ac 0.0596 0.0000 0.1724 [2 per cell]  5 Nd 3.57-3.72, 2 Ac 3.68, 4 Sm 3.73-3.81
Nd 0.0000 0.5000 0.5000 [1 per cell]  8 Nd 3.64-3.70, 4 Sm 3.76
Nd 0.2290 0.0000 0.6645 [2 per cell]  3 Sm 3.67-3.83, 8 Nd 3.68-3.80, 1 Ac 3.71
Nd 0.2606 0.0000 0.9987 [2 per cell]  2 Nd 3.14-3.43
Nd 0.2788 0.5000 0.3393 [2 per cell]  3 Sm 3.63-3.89, 7 Nd 3.64-3.80, 2 Ac 3.72
Sm 0.4504 0.5000 0.8389 [2 per cell]  2 Sm 3.68, 4 Ac 3.73-3.81, 7 Nd 3.78-3.89
Sm 0.5000 0.0000 0.5000 [1 per cell]  10 Nd 3.63-3.76, 2 Sm 3.68

Computed properties:
VASP energy, eV per cell: -54.74



Entry 9:
Here is crystalline CeTlCu2F8 at its relaxed geometry from Alexandria via LeMat-Bulk. Energies are from PBE-GGA.

a = 5.7540 Å, b = 5.7540 Å, c = 8.1259 Å
α = 90.00°, β = 90.00°, γ = 120.00°
With the nearest neighbours (Å) after each atom.
Space group P-3m1 (No. 164)
Unique sites:
Ce 0.0000 0.0000 0.0000 [1 per cell]  6 F 2.19
Tl 0.0000 0.0000 0.5000 [1 per cell]  12 F 3.14-3.34
Cu 0.3333 0.6667 0.6825 [2 per cell]  4 F 1.84-2.02
F 0.1685 0.3371 0.8267 [6 per cell]  1 Cu 2.02, 1 Ce 2.19
F 0.3333 0.6667 0.4556 [2 per cell]  1 Cu 1.84

Computed properties:
Formation energy from raw total energies, eV per atom: -2.335



Entry 10:
Here is crystalline CaTaSb2 at its relaxed geometry from Alexandria via LeMat-Bulk. Energies are from PBE-GGA.

a = 4.1912 Å, b = 4.1912 Å, c = 5.8145 Å
α = 90.00°, β = 90.00°, γ = 90.00°
With the nearest neighbours (Å) after each atom.
Space group P4/mmm (No. 123)
Unique sites:
Ca 0.0000 0.0000 0.0000 [1 per cell]  6 Sb 2.91-2.96
Ta 0.5000 0.5000 0.5000 [1 per cell]  6 Sb 2.91-2.96
Sb 0.0000 0.0000 0.5000 [1 per cell]  2 Ca 2.91, 4 Ta 2.96
Sb 0.5000 0.5000 0.0000 [1 per cell]  2 Ta 2.91, 4 Ca 2.96

Computed properties:
Formation energy from raw total energies, eV per atom: -0.072



Entry 11:
Here is crystalline CrTc3W at its relaxed geometry from Alexandria via LeMat-Bulk. Energies are from PBE-GGA.

a = 4.3545 Å, b = 4.3545 Å, c = 4.3545 Å
α = 90.00°, β = 90.00°, γ = 90.00°
With the nearest neighbours (Å) after each atom.
Space group Pm-3m (No. 221)
Unique sites:
Cr 0.0000 0.0000 0.0000 [1 per cell]  6 Tc 2.18
Tc 0.0000 0.0000 0.5000 [3 per cell]  2 Cr 2.18
W 0.5000 0.5000 0.5000 [1 per cell]  12 Tc 3.08

Computed properties:
VASP energy, eV per cell: -47.14



Entry 12:
Here is crystalline Al2TcMo at its relaxed geometry from Alexandria via LeMat-Bulk. Energies are from PBE-GGA.

a = 3.2264 Å, b = 4.3000 Å, c = 8.6395 Å
α = 90.00°, β = 90.00°, γ = 90.00°
With the nearest neighbours (Å) after each atom.
Space group Imm2 (No. 44)
Unique sites:
Al 0.0000 0.0000 0.0000 [2 per cell]  4 Tc 2.69, 2 Mo 2.73, 4 Al 2.82-2.94
Al 0.0000 0.5000 0.2322 [2 per cell]  2 Tc 2.67, 4 Mo 2.69, 4 Al 2.82-2.94
Tc 0.0000 0.0000 0.4858 [2 per cell]  2 Mo 2.57, 6 Al 2.67-2.69
Mo 0.0000 0.5000 0.7545 [2 per cell]  2 Tc 2.57, 6 Al 2.69-2.73

Computed properties:
VASP energy, eV per cell: -59.10